# BaCdSb3

A geometry-optimized BaCdSb3 structure (PBE, Alexandria via LeMat-Bulk).

Cell: 6.3169 6.3169 6.3169 Å, 90.00 90.00 90.00°
Closest atoms and distances in Å follow each position.
Fractional positions:
Ba 0.0000 0.0000 0.0000  6 Sb 3.16
Cd 0.5000 0.5000 0.5000  12 Sb 4.47
Sb 0.0000 0.0000 0.5000  2 Ba 3.16
Sb 0.0000 0.5000 0.0000  2 Ba 3.16
Sb 0.5000 0.0000 0.0000  2 Ba 3.16

Results
ΔE_f (raw) (eV/atom): 0.886
SG: No. 221

---

# LaZr2W

A geometry-optimized LaZr2W structure (PBE, Alexandria via LeMat-Bulk).

Cell: 11.3297 3.5751 5.1103 Å, 90.00 114.66 90.00°
Closest atoms and distances in Å follow each position.
Fractional positions:
La 0.0000 0.0000 0.0000  2 W 3.05, 7 Zr 3.18-3.35
La 0.5000 0.5000 0.0000  2 W 3.05, 7 Zr 3.18-3.35
Zr 0.2248 0.0000 0.7439  2 W 2.91
Zr 0.4355 0.0000 0.4373  2 W 2.73
Zr 0.7248 0.5000 0.7439  2 W 2.91
Zr 0.9355 0.5000 0.4373  2 W 2.73
W 0.2362 0.5000 0.3049  4 Zr 2.73-2.91, 2 La 3.05
W 0.7362 0.0000 0.3049  4 Zr 2.73-2.91, 2 La 3.05

Results
SG: No. 8
Energy of formation (eV/atom): 0.35

---

Number 1: DOS at the Fermi energy 3.800 states/eV/f.u., E above lowest polymorph 1245 meV per atom, uncorrected energy -2.1548 eV/atom. Number 2: DOS at the Fermi energy 4.341 states/eV/f.u., E above lowest polymorph 172 meV per atom, uncorrected energy -8.3972 eV/atom.